Here is Cs2SrGaI6 after structural relaxation from Alexandria via LeMat-Bulk. Energies are from PBE.

The space group is P1 (No. 1) and the conventional cell measures 8.6250, 8.6310 and 8.8116 Å, with angles of 119.22, 119.26 and 90.04 degrees. The asymmetric unit holds Cs at (0.0000, 0.0000, 0.0000), Cs at (0.4999, 0.4955, 0.0004), Sr at (0.2499, 0.7478, 0.5003), Ga at (0.7500, 0.2478, 0.5003), I at (0.0477, 0.4284, 0.5016), I at (0.4524, 0.0671, 0.4989), I at (0.5088, 0.0108, 0.0186), I at (0.5717, 0.5465, 0.5042), I at (0.9281, 0.9490, 0.4965) and I at (0.9921, 0.4853, 0.9821).

The value obtained for the density of states at the Fermi level is 0.54 states/eV per atom. Its magnetic moment is 0.00 μB per cell. The density is 4.15 g/cm³. The calculation puts the formation energy without anion corrections at -1.20 eV per atom.